Entry 1:
Material: PrDy2Au
Method: DFT, PBE
State: optimized geometry

```
PrDy2Au
1.0
3.796 0.000 0.000
1.898 3.287 0.000
1.898 1.096 9.873
Pr Dy Au
1 2 1
Cartesian
3.796 2.192 4.901 Pr
1.898 1.096 7.899 Dy
1.898 1.096 1.984 Dy
3.796 2.192 0.025 Au
```

Output
* DFT total energy: -18.43 eV per formula unit
* space group: R3m (160)
* ΔE_f: -1.2 eV per formula unit

=====

Entry 2:
Material: PrDy2Au
Method: DFT, PBE
State: optimized geometry

```
PrDy2Au
1.0
-0.533 -2.886 -4.004
4.576 -2.281 4.118
-5.434 -4.169 3.729
Pr Dy Au
2 4 2
Cartesian
2.262 -5.844 0.840 Pr
-3.654 -3.492 3.003 Pr
0.145 -4.868 3.494 Dy
-1.537 -4.468 0.349 Dy
-2.192 -6.661 5.098 Dy
0.800 -2.675 -1.255 Dy
-1.795 -6.770 2.046 Au
0.404 -2.566 1.797 Au
```

Output
* DFT total energy: -18.90 eV per formula unit
* space group: Cmcm (63)
* ΔE_f: -1.6 eV per formula unit

=====

Entry 3:
Material: Pr2DyAu
Method: DFT, PBE
State: optimized geometry

```
Pr2DyAu
1.0
-2.230 -2.226 2.151
6.126 -1.791 1.116
0.592 6.777 7.627
Pr Dy Au
4 2 2
Cartesian
4.009 1.604 5.821 Pr
0.478 1.156 5.074 Pr
4.244 4.290 8.844 Pr
0.244 -1.530 2.050 Pr
3.374 -1.934 4.880 Dy
1.114 4.694 6.014 Dy
1.898 2.480 7.920 Au
2.589 0.280 2.974 Au
```

Output
* DFT total energy: -19.03 eV per formula unit
* space group: Cmcm (63)
* ΔE_f: -1.6 eV per formula unit

=====

Entry 4:
Material: Pr2DyAu
Method: DFT, PBE
State: optimized geometry

```
Pr2DyAu
1.0
-2.229 2.929 -0.767
-3.666 -0.543 -0.632
-3.877 1.980 9.611
Pr Au Dy
2 1 1
Cartesian
-2.381 1.053 1.723 Pr
-7.392 3.313 6.489 Pr
0.000 0.000 0.000 Au
-4.886 2.183 4.106 Dy
```

Output
* DFT total energy: -18.38 eV per formula unit
* space group: R-3m (166)
* ΔE_f: -0.9 eV per formula unit

=====

Entry 5:
Material: Pr2DyAu3
Method: DFT, PBE
State: optimized geometry

```
Pr2DyAu3
1.0
3.674 0.000 0.000
0.000 5.212 0.000
0.000 0.000 15.833
Pr Dy Au
4 2 6
Cartesian
3.654 0.000 10.572 Pr
3.654 0.000 5.261 Pr
0.020 2.606 2.656 Pr
0.020 2.606 13.177 Pr
3.656 2.606 7.917 Dy
0.018 0.000 0.000 Dy
1.815 2.606 10.365 Au
1.826 0.000 7.917 Au
1.815 2.606 5.468 Au
1.860 0.000 2.449 Au
1.849 2.606 0.000 Au
1.860 0.000 13.385 Au
```

Output
* DFT total energy: -28.66 eV per formula unit
* space group: Pmmn (59)
* ΔE_f: -4.7 eV per formula unit

=====

Entry 6:
Material: Pr3DyAu2
Method: DFT, PBE
State: optimized geometry

```
Pr3DyAu2
1.0
-2.117 1.843 -4.304
-6.557 -0.498 3.012
0.861 8.732 3.316
Pr Dy Au
6 2 4
Cartesian
-2.439 7.827 4.552 Pr
-6.448 0.165 3.242 Pr
-5.190 2.042 0.360 Pr
-1.336 8.133 1.073 Pr
-1.993 2.776 2.169 Pr
-4.992 5.360 4.751 Pr
-3.883 5.687 1.278 Dy
-0.733 4.633 -0.722 Dy
-5.132 7.894 2.838 Au
-2.439 2.201 -0.925 Au
-1.202 5.538 2.963 Au
-4.738 2.677 3.477 Au
```

Output
* DFT total energy: -28.75 eV per formula unit
* space group: Pmc2_1 (26)
* ΔE_f: -3.3 eV per formula unit

=====

Entry 7:
Material: Pr2DyAu2
Method: DFT, PBE
State: optimized geometry

```
Pr2DyAu2
1.0
3.961 0.000 0.000
0.000 8.361 0.000
0.000 0.000 8.361
Pr Dy Au
4 2 4
Cartesian
0.000 5.574 2.787 Pr
0.000 6.967 6.967 Pr
0.000 1.394 1.394 Pr
0.000 2.787 5.574 Pr
1.980 4.180 0.000 Dy
1.980 0.000 4.180 Dy
1.980 3.093 3.093 Au
1.980 7.273 1.087 Au
1.980 1.087 7.273 Au
1.980 5.268 5.268 Au
```

Output
* DFT total energy: -23.90 eV per formula unit
* space group: P4/mbm (127)
* ΔE_f: -3.2 eV per formula unit

=====

Entry 8:
Material: PrDy5Au6
Method: DFT, PBE
State: optimized geometry

```
PrDy5Au6
1.0
5.022 0.002 -1.050
-0.003 7.203 -0.001
-0.948 0.000 8.106
Pr Au Dy
1 6 5
Cartesian
0.000 0.000 0.000 Pr
3.542 5.375 4.445 Au
3.544 1.832 4.445 Au
2.510 1.902 -0.525 Au
1.561 5.303 7.580 Au
0.527 5.373 2.610 Au
0.529 1.831 2.610 Au
3.023 3.603 1.987 Dy
1.040 7.204 5.038 Dy
-0.002 3.601 0.000 Dy
3.031 0.002 2.017 Dy
1.049 3.602 5.068 Dy
```

Output
* DFT total energy: -57.52 eV per formula unit
* space group: P2/m (10)
* ΔE_f: -10.1 eV per formula unit